Density functional theory data (GGA+U) for a relaxed BaNi4O7 crystal.

The space group is P6_3mc (No. 186) and the conventional cell measures 6.2471, 6.2471 and 10.2506 Å, with angles of 90.00, 90.00 and 120.00 degrees. The asymmetric unit holds Ba at (0.3333, 0.6667, 0.0000), Ni at (0.0000, 0.0000, 0.4427), Ni at (0.1716, 0.3432, 0.6843), O at (0.0000, 0.0000, 0.2525), O at (0.0142, 0.5071, 0.7426) and O at (0.1579, 0.3157, 0.5058).

The value obtained for the raw total energy is -113.17 eV per cell.